Record 1
# PBE-GGA Ba2LiOsN6, relaxed
# **Final energy**: -61.7 eV per cell
data_Ba2LiOsN6
_symmetry_space_group_name_H-M 'P 1'
_symmetry_Int_Tables_number 1
_cell_length_a 5.784
_cell_length_b 5.785
_cell_length_c 5.794
_cell_angle_alpha 119.85
_cell_angle_beta 90.07
_cell_angle_gamma 119.97
loop_
_symmetry_equiv_pos_as_xyz
'x,y,z'
loop_
_atom_site_label
_atom_site_fract_x
_atom_site_fract_y
_atom_site_fract_z
Ba1 0.250 0.000 0.250
Ba2 0.750 0.000 0.750
Li1 0.000 0.500 0.500
Os1 0.500 0.500 0.000
N1 0.260 0.500 0.764
N2 0.261 0.025 0.764
N3 0.264 0.501 0.240
N4 0.736 0.499 0.760
N5 0.739 0.975 0.236
N6 0.740 0.500 0.236

---

Record 2
# PBE-GGA CoSb3, relaxed
# **Final energy**: -80.9 eV per cell
# **Energy above the most stable polymorph in this dataset**: 0 meV per atom
data_CoSb3
_symmetry_space_group_name_H-M 'P 1'
_symmetry_Int_Tables_number 1
_cell_length_a 7.875
_cell_length_b 7.875
_cell_length_c 7.875
_cell_angle_alpha 109.47
_cell_angle_beta 109.47
_cell_angle_gamma 109.47
loop_
_symmetry_equiv_pos_as_xyz
'x,y,z'
loop_
_atom_site_label
_atom_site_fract_x
_atom_site_fract_y
_atom_site_fract_z
Co1 0.000 0.000 0.500
Co2 0.000 0.500 0.000
Co3 0.500 0.000 0.000
Co4 0.500 0.500 0.500
Sb1 0.159 0.333 0.493
Sb2 0.159 0.667 0.826
Sb3 0.174 0.841 0.333
Sb4 0.333 0.174 0.841
Sb5 0.333 0.493 0.159
Sb6 0.493 0.159 0.333
Sb7 0.507 0.841 0.667
Sb8 0.667 0.507 0.841
Sb9 0.667 0.826 0.159
Sb10 0.826 0.159 0.667
Sb11 0.841 0.333 0.174
Sb12 0.841 0.667 0.507